PBE Cs4Pr3PtO8, relaxed; space-group type = No. 12; formation energy (no corrections) = -1.96 eV/atom; density of states at the Fermi level = 8.40 states/eV per cell; total magnetic moment = 1.1 μB per cell
1.0
6.6723 -3.5561 0.0000
6.6723 3.5561 0.0000
-3.5700 0.0000 7.0185
Cs Pr Pt O
4 3 1 8
Cartesian
0.0000 0.0000 0.0000 Cs
3.3362 1.7781 0.0000 Cs
3.3362 -1.7781 0.0000 Cs
6.6723 0.0000 0.0000 Cs
-1.7850 0.0000 3.5093 Pr
1.5512 1.7781 3.5093 Pr
1.5512 -1.7781 3.5093 Pr
4.8873 0.0000 3.5093 Pt
0.3588 0.0000 4.7010 O
1.8592 0.0000 1.9815 O
3.9014 1.5113 4.5112 O
5.8733 1.5113 2.5073 O
3.9014 -1.5113 4.5112 O
5.8733 -1.5113 2.5073 O
7.9155 0.0000 5.0370 O
9.4159 0.0000 2.3175 O


PBE Cs4Pr3PuO8, relaxed; space-group type = No. 166; formation energy (no corrections) = -2.42 eV/atom; density of states at the Fermi level = 6.97 states/eV per cell; total magnetic moment = 4.9 μB per cell
1.0
3.7138 2.1442 6.9595
-3.7138 2.1442 6.9595
0.0000 -4.2884 6.9595
Cs Pr Pu O
4 3 1 8
Cartesian
0.0000 0.0000 0.0000 Cs
-1.8569 -1.0721 6.9595 Cs
-1.8569 1.0721 13.9190 Cs
0.0000 2.1442 6.9595 Cs
-3.7138 0.0000 10.4392 Pr
-1.8569 1.0721 3.4797 Pr
1.8569 1.0721 3.4797 Pr
0.0000 0.0000 10.4392 Pu
0.0000 0.0000 4.6584 O
-1.8019 -1.0403 11.6047 O
0.0000 -2.0806 9.2737 O
-1.8019 1.0403 9.2737 O
1.8019 -1.0403 11.6048 O
0.0000 2.0806 11.6048 O
1.8019 1.0403 9.2737 O
0.0000 0.0000 16.2200 O


PBE CsPrPu2O7, relaxed; space-group type = No. 123; formation energy (no corrections) = -2.73 eV/atom; density of states at the Fermi level = 8.34 states/eV per cell; total magnetic moment = 6.0 μB per cell
1.0
4.2826 0.0000 0.0000
0.0000 4.2826 0.0000
0.0000 0.0000 11.2101
Cs Pr Pu O
1 1 2 7
Cartesian
0.0000 0.0000 0.0000 Cs
0.0000 0.0000 5.6050 Pr
2.1413 2.1413 3.5041 Pu
2.1413 2.1413 7.7060 Pu
0.0000 2.1413 3.9906 O
0.0000 2.1413 7.2195 O
2.1413 0.0000 3.9906 O
2.1413 0.0000 7.2195 O
2.1413 2.1413 1.5931 O
2.1413 2.1413 5.6050 O
2.1413 2.1413 9.6169 O


PBE Cs2PrRe3O12, relaxed; space-group type = No. 166; formation energy (no corrections) = -1.91 eV/atom; density of states at the Fermi level = 4.90 states/eV per cell; total magnetic moment = 0.9 μB per cell
1.0
3.7232 2.1496 6.4837
-3.7232 2.1496 6.4837
0.0000 -4.2992 6.4837
Cs Pr Re O
2 1 3 12
Cartesian
0.0000 0.0000 2.1953 Cs
0.0000 0.0000 17.2557 Cs
0.0000 0.0000 9.7255 Pr
-1.8616 -1.0748 6.4837 Re
-1.8616 1.0748 12.9673 Re
0.0000 2.1496 6.4837 Re
-1.6648 -0.9612 8.3276 O
0.0000 -1.5965 6.3218 O
-1.3826 0.7983 6.3218 O
0.0000 -1.9223 11.1234 O
-1.6648 0.9612 11.1234 O
-1.3826 -0.7983 13.1292 O
1.3826 0.7983 6.3218 O
1.6648 -0.9612 8.3276 O
0.0000 1.9223 8.3276 O
1.3826 -0.7983 13.1292 O
0.0000 1.5965 13.1292 O
1.6648 0.9612 11.1234 O


PBE Cs2PrReO6, relaxed; space-group type = No. 225; formation energy (no corrections) = -2.09 eV/atom; density of states at the Fermi level = 0.00 states/eV per cell; total magnetic moment = 0.0 μB per cell
1.0
0.0000 4.3710 4.3710
4.3710 0.0000 4.3710
4.3710 4.3710 0.0000
Cs Pr Re O
2 1 1 6
Cartesian
2.1855 2.1855 2.1855 Cs
6.5565 6.5565 6.5565 Cs
0.0000 0.0000 0.0000 Pr
4.3710 4.3710 4.3710 Re
4.3710 4.3710 2.4520 O
4.3710 2.4520 4.3710 O
6.2900 4.3710 4.3710 O
2.4520 4.3710 4.3710 O
4.3710 6.2900 4.3710 O
4.3710 4.3710 6.2900 O


PBE Cs2Pr2RuO6, relaxed; space-group type = No. 12; formation energy (no corrections) = -2.01 eV/atom; density of states at the Fermi level = 3.80 states/eV per cell; total magnetic moment = 2.0 μB per cell
1.0
3.0584 -5.2249 0.0000
3.0584 5.2249 0.0000
-1.7281 0.0000 7.0124
Cs Pr Ru O
2 2 1 6
Cartesian
3.0584 3.5078 0.0000 Cs
3.0584 -3.5078 0.0000 Cs
2.1944 1.7416 3.5062 Pr
2.1944 -1.7416 3.5062 Pr
-0.8640 0.0000 3.5062 Ru
0.0598 1.5820 4.6118 O
0.8418 0.0000 2.4065 O
0.0598 -1.5820 4.6118 O
4.3289 1.5820 2.4007 O
3.5469 0.0000 4.6059 O
4.3289 -1.5820 2.4007 O


PBE CsPrRu2O8, relaxed; space-group type = No. 147; formation energy (no corrections) = -1.47 eV/atom; density of states at the Fermi level = 1.96 states/eV per cell; total magnetic moment = 4.0 μB per cell
1.0
6.1180 0.0000 0.0000
-3.0590 5.2983 0.0000
0.0000 0.0000 8.6255
Cs Pr Ru O
1 1 2 8
Cartesian
0.0000 0.0000 0.0000 Cs
0.0000 0.0000 4.3128 Pr
0.0000 3.5322 6.4287 Ru
3.0590 1.7661 2.1968 Ru
-0.0394 1.8383 5.8060 O
-1.4473 4.4133 5.8060 O
0.0000 3.5322 8.1810 O
1.5723 0.9533 2.8195 O
1.4867 4.3451 5.8060 O
3.0590 1.7661 0.4445 O
4.5063 0.8851 2.8195 O
3.0984 3.4600 2.8195 O


PBE CsPrS2O8, relaxed; distance to the lowest polymorph of the same formula = 0.0 kJ/mol of atoms; space-group type = No. 52; formation energy (no corrections) = -2.09 eV/atom; density of states at the Fermi level = 0.00 states/eV per cell; total magnetic moment = 0.0 μB per cell
1.0
9.7501 0.0000 0.0000
0.0000 14.5421 0.0000
0.0000 0.0000 5.5144
Cs Pr S O
4 4 8 32
Cartesian
0.7453 3.6355 1.3786 Cs
4.1297 10.9065 1.3786 Cs
5.6204 3.6355 4.1358 Cs
9.0047 10.9065 4.1358 Cs
2.4375 0.0000 3.7234 Pr
2.4375 7.2710 4.5481 Pr
7.3126 0.0000 1.7909 Pr
7.3126 7.2710 0.9663 Pr
0.8395 8.4806 1.4513 S
0.8395 13.3325 1.3059 S
4.0355 1.2095 1.3059 S
4.0355 6.0615 1.4513 S
5.7146 8.4806 4.0631 S
5.7146 13.3325 4.2084 S
8.9106 1.2095 4.2084 S
8.9106 6.0615 4.0631 S
0.5973 1.6085 4.2753 O
0.5973 5.6625 3.9962 O
0.9544 0.2323 1.6850 O
0.9544 7.0388 1.0721 O
1.4697 8.7289 2.7775 O
1.4697 13.0842 5.4940 O
1.5432 9.2602 0.3815 O
1.5432 12.5529 2.3757 O
3.3318 1.9892 2.3757 O
3.3318 5.2818 0.3815 O
3.4053 1.4579 5.4940 O
3.4053 5.8131 2.7775 O
3.9206 7.5033 1.0721 O
3.9206 14.3098 1.6850 O
4.2777 8.8796 3.9962 O
4.2777 12.9335 4.2753 O
5.4724 1.6085 1.2391 O
5.4724 5.6625 1.5181 O
5.8295 0.2323 3.8293 O
5.8295 7.0388 4.4422 O
6.3447 8.7289 2.7369 O
6.3447 13.0842 0.0203 O
6.4183 9.2602 5.1329 O
6.4183 12.5529 3.1387 O
8.2069 1.9892 3.1387 O
8.2069 5.2818 5.1329 O
8.2804 1.4579 0.0203 O
8.2804 5.8131 2.7369 O
8.7956 7.5033 4.4422 O
8.7956 14.3098 3.8293 O
9.1528 8.8796 1.5181 O
9.1528 12.9335 1.2391 O


Number 2 is which compound?
Cs4Pr3PuO8


Which value of formation energy (no corrections) does entry 4 give?
-1.91 eV/atom


Which value of total magnetic moment does entry 3 give?
6.0 μB per cell